ScUBi: optimized geometry, PBE.

a = 5.0252 Å, b = 5.0252 Å, c = 5.0252 Å
α = 60.00°, β = 60.00°, γ = 60.00°
With the nearest neighbours (Å) after each atom.
Fractional positions:
U  0.7500  0.7500  0.7500  4 Sc 3.08
Bi  0.2500  0.2500  0.2500  4 Sc 3.08
Sc  0.0000  0.0000  0.0000  4 U 3.08, 4 Bi 3.08

Calculated values
**Final energy**: -20.13 eV per cell

Dy2Er2Lu3Te2Ir2: optimized geometry, PBE.

a = 9.2837 Å, b = 9.2837 Å, c = 9.2837 Å
α = 155.63°, β = 66.27°, γ = 119.44°
With the nearest neighbours (Å) after each atom.
Fractional positions:
Er  0.3973  0.2653  0.1320  2 Ir 2.82, 1 Te 3.08
Er  0.1333  0.2653  0.8680  2 Ir 2.82, 1 Te 3.08
Te  0.4196  0.9196  0.5000  4 Lu 3.14, 4 Er 3.18
Te  0.0199  0.0199  0.0000  2 Er 3.08, 4 Dy 3.16, 1 Lu 3.16
Ir  0.5147  0.7527  0.7621  2 Er 2.82, 3 Lu 2.82-3.07, 2 Dy 2.86
Ir  0.9906  0.7527  0.2379  2 Er 2.82, 3 Lu 2.82-3.07, 2 Dy 2.86
Lu  0.7391  0.0544  0.6847  3 Ir 2.82-3.07, 1 Te 3.14
Lu  0.6821  0.6821  0.0000  3 Te 3.14-3.16
Lu  0.3697  0.0544  0.3153  3 Ir 2.82-3.07, 1 Te 3.14
Dy  0.7678  0.4141  0.3537  2 Ir 2.86, 2 Te 3.16
Dy  0.0604  0.4141  0.6463  2 Ir 2.86, 2 Te 3.16

Calculated values
**Energy relative to the lowest polymorph listed for this composition**: 0 meV/atom

BIrSe4: optimized geometry, PBE.

a = 11.0436 Å, b = 11.0436 Å, c = 11.0436 Å
α = 18.10°, β = 18.10°, γ = 18.10°
With the nearest neighbours (Å) after each atom.
Fractional positions:
Se  0.6215  0.6215  0.6215  3 Ir 2.49
Se  0.1283  0.1283  0.1283  3 B 2.36
Se  0.3785  0.3785  0.3785  3 Ir 2.49
Se  0.8717  0.8717  0.8717  3 B 2.36
Ir  0.0000  0.0000  0.0000  6 Se 2.49
B  0.5000  0.5000  0.5000  6 Se 2.36

Calculated values
**Final energy**: -27.98 eV per cell

NdHoNb: optimized geometry, PBE.

a = 5.1081 Å, b = 5.1081 Å, c = 5.1081 Å
α = 60.00°, β = 60.00°, γ = 60.00°
With the nearest neighbours (Å) after each atom.
Fractional positions:
Nd  0.0000  0.0000  0.0000  4 Nb 3.13
Ho  0.5000  0.5000  0.5000  4 Nb 3.13
Nb  0.2500  0.2500  0.2500  4 Ho 3.13, 4 Nd 3.13

Calculated values
**Formation energy from the elements**: 18.65 kcal/mol of atoms
**Energy relative to the lowest polymorph listed for this composition**: 0 meV/atom

LaNdW2C3: optimized geometry, PBE.

a = 6.4301 Å, b = 6.4301 Å, c = 5.9627 Å
α = 114.96°, β = 114.96°, γ = 30.90°
With the nearest neighbours (Å) after each atom.
Fractional positions:
W  0.8417  0.8417  0.6797  4 C 2.07-2.17
W  0.1597  0.1597  0.3224  4 C 2.06-2.16
C  0.2540  0.2540  0.7247  3 W 2.11-2.16
C  0.7475  0.7475  0.2761  3 W 2.11-2.17
C  0.9998  0.9998  0.0043  2 W 2.06-2.07
La  0.6048  0.6048  0.8048  5 C 2.58-2.72
Nd  0.3926  0.3926  0.1879  5 C 2.53-2.70

Calculated values
**Final energy**: -64.54 eV per cell

ZrCuAgBi: optimized geometry, PBE.

a = 4.8886 Å, b = 4.8886 Å, c = 4.8886 Å
α = 60.00°, β = 60.00°, γ = 60.00°
With the nearest neighbours (Å) after each atom.
Fractional positions:
Bi  0.0000  0.0000  0.0000  4 Zr 2.99, 4 Ag 2.99
Zr  0.2500  0.2500  0.2500  4 Bi 2.99, 4 Cu 2.99
Ag  0.7500  0.7500  0.7500  4 Cu 2.99, 4 Bi 2.99
Cu  0.5000  0.5000  0.5000  4 Ag 2.99, 4 Zr 2.99

Calculated values
**Energy relative to the lowest polymorph listed for this composition**: 0 meV/atom

BeInTc: optimized geometry, PBE.

a = 4.0313 Å, b = 4.0313 Å, c = 4.0313 Å
α = 60.00°, β = 60.00°, γ = 60.00°
With the nearest neighbours (Å) after each atom.
Fractional positions:
Tc  0.7500  0.7500  0.7500  4 Be 2.47
Be  0.0000  0.0000  0.0000  4 In 2.47, 4 Tc 2.47
In  0.2500  0.2500  0.2500  4 Be 2.47

Calculated values
**Energy relative to the lowest polymorph listed for this composition**: 0 meV/atom

Hf2InTe2: optimized geometry, PBE.

a = 4.3774 Å, b = 4.3774 Å, c = 7.7657 Å
α = 106.37°, β = 106.37°, γ = 90.00°
With the nearest neighbours (Å) after each atom.
Fractional positions:
In  0.0000  0.0000  0.0000  8 Te 3.52
Te  0.3828  0.3828  0.7656  4 Hf 2.89
Te  0.6172  0.6172  0.2344  4 Hf 2.89
Hf  0.2500  0.7500  0.5000  4 Te 2.89, 4 Hf 3.10
Hf  0.7500  0.2500  0.5000  4 Te 2.89, 4 Hf 3.10

Calculated values
**Final energy**: -29.84 eV per cell